Record 1
Compound: AlPtW
Source: Alexandria
Functional: GGA-PBE
Structure: relaxed

Lattice parameters (Å, degrees): 5.9966 5.9966 5.9966 90.00 90.00 90.00
Space group F-43m (No. 216)
Inequivalent atoms, fractional coordinates:
Al 0.0000 0.0000 0.0000
Pt 0.2500 0.2500 0.7500
W 0.0000 0.0000 0.5000

Calculated values
- Calculated total energy: -91.60 eV per cell
- Total magnetization: 0.195 μB per atom
- Energy relative to the lowest polymorph listed for this composition: 315 meV/atom
- DFT formation energy: -0.055 eV/atom
- Fermi-level density of states: 1.145 states/eV per atom

Record 2
Compound: Al2PtW
Source: Alexandria
Functional: GGA-PBE
Structure: relaxed

Lattice parameters (Å, degrees): 9.8692 2.8143 4.6976 90.00 110.66 90.00
Space group Cm (No. 8)
Inequivalent atoms, fractional coordinates:
Al 0.0000 0.0000 0.0000
Al 0.2339 0.0000 0.5975
Pt 0.4896 0.0000 0.5104
W 0.2498 0.5000 0.0972

Calculated values
- Calculated total energy: -56.37 eV per cell
- Total magnetization: 0.000 μB per atom
- Energy relative to the lowest polymorph listed for this composition: 18 meV/atom
- DFT formation energy: -0.427 eV/atom
- Fermi-level density of states: 0.255 states/eV per atom

Record 3
Compound: AlPt4W
Source: Alexandria
Functional: GGA-PBE
Structure: relaxed

Lattice parameters (Å, degrees): 7.3665 7.3665 7.3665 90.00 90.00 90.00
Space group F-43m (No. 216)
Inequivalent atoms, fractional coordinates:
Al 0.0000 0.0000 0.0000
Pt 0.1247 0.1247 0.6247
W 0.2500 0.2500 0.2500

Calculated values
- Calculated total energy: -159.28 eV per cell
- Total magnetization: 0.211 μB per atom
- DFT formation energy: 0.173 eV/atom
- Fermi-level density of states: 1.090 states/eV per atom

Record 4
Compound: Al2PtW
Source: Alexandria
Functional: GGA-PBE
Structure: relaxed

Lattice parameters (Å, degrees): 2.7932 4.1467 5.3664 90.00 90.09 90.00
Space group P2/m (No. 10)
Inequivalent atoms, fractional coordinates:
Al 0.0028 0.0000 0.2388
Pt 0.0000 0.5000 0.5000
W 0.5000 0.5000 0.0000

Calculated values
- Calculated total energy: -27.79 eV per cell
- Total magnetization: 0.000 μB per atom
- Energy relative to the lowest polymorph listed for this composition: 117 meV/atom
- DFT formation energy: -0.328 eV/atom
- Fermi-level density of states: 0.682 states/eV per atom

Record 5
Compound: Al2PtW
Source: Alexandria
Functional: GGA-PBE
Structure: relaxed

Lattice parameters (Å, degrees): 2.8632 2.8632 25.9645 90.00 90.00 120.00
Space group R-3m (No. 166, hexagonal axes)
Inequivalent atoms, fractional coordinates:
Al 0.0000 0.0000 0.2475
Pt 0.0000 0.0000 0.5000
W 0.0000 0.0000 0.0000

Calculated values
- Calculated total energy: -83.74 eV per cell
- Total magnetization: 0.000 μB per atom
- Energy relative to the lowest polymorph listed for this composition: 86 meV/atom
- DFT formation energy: -0.358 eV/atom
- Fermi-level density of states: 0.394 states/eV per atom

Record 6
Compound: AlPtW
Source: Alexandria
Functional: GGA-PBE
Structure: relaxed

Lattice parameters (Å, degrees): 6.0529 6.0529 6.0529 90.00 90.00 90.00
Space group F-43m (No. 216)
Inequivalent atoms, fractional coordinates:
Al 0.0000 0.0000 0.0000
Pt 0.0000 0.0000 0.5000
W 0.2500 0.2500 0.2500

Calculated values
- Calculated total energy: -87.04 eV per cell
- Total magnetization: 0.000 μB per atom
- Energy relative to the lowest polymorph listed for this composition: 695 meV/atom
- DFT formation energy: 0.325 eV/atom
- Fermi-level density of states: 1.224 states/eV per atom

Record 7
Compound: AlPt3W
Source: Alexandria
Functional: GGA-PBE
Structure: relaxed

Lattice parameters (Å, degrees): 4.4791 4.4791 4.4791 90.00 90.00 90.00
Space group Pm-3m (No. 221)
Inequivalent atoms, fractional coordinates:
Al 0.0000 0.0000 0.0000
Pt 0.0000 0.0000 0.5000
W 0.5000 0.5000 0.5000

Calculated values
- Calculated total energy: -30.26 eV per cell
- Total magnetization: 0.000 μB per atom
- Energy relative to the lowest polymorph listed for this composition: 0 meV/atom
- DFT formation energy: 0.911 eV/atom
- Fermi-level density of states: 1.971 states/eV per atom

Record 8
Compound: Al2PtW
Source: Alexandria
Functional: GGA-PBE
Structure: relaxed

Lattice parameters (Å, degrees): 5.9255 7.2980 2.8030 90.00 90.00 90.00
Space group Cmmm (No. 65)
Inequivalent atoms, fractional coordinates:
Al 0.2500 0.2500 0.0000
Pt 0.0000 0.0000 0.5000
W 0.0000 0.5000 0.5000

Calculated values
- Calculated total energy: -56.05 eV per cell
- Total magnetization: 0.000 μB per atom
- Energy relative to the lowest polymorph listed for this composition: 58 meV/atom
- DFT formation energy: -0.387 eV/atom
- Fermi-level density of states: 0.464 states/eV per atom

Record 9
Compound: Al2PtW
Source: Alexandria
Functional: GGA-PBE
Structure: relaxed

Lattice parameters (Å, degrees): 2.8349 3.7799 5.6569 90.00 90.00 90.00
Space group Pmm2 (No. 25)
Inequivalent atoms, fractional coordinates:
Al 0.0000 0.0000 0.0000
Al 0.5000 0.5000 0.2623
Pt 0.0000 0.0000 0.4709
W 0.5000 0.5000 0.7695

Calculated values
- Calculated total energy: -27.83 eV per cell
- Total magnetization: 0.000 μB per atom
- Energy relative to the lowest polymorph listed for this composition: 106 meV/atom
- DFT formation energy: -0.339 eV/atom
- Fermi-level density of states: 0.564 states/eV per atom

Record 10
Compound: Al2PtW
Source: Alexandria
Functional: GGA-PBE
Structure: relaxed

Lattice parameters (Å, degrees): 3.7853 4.0794 7.8055 90.00 90.00 90.00
Space group Cmmm (No. 65)
Inequivalent atoms, fractional coordinates:
Al 0.0000 0.0000 0.2377
Pt 0.0000 0.5000 0.0000
W 0.0000 0.5000 0.5000

Calculated values
- Calculated total energy: -56.52 eV per cell
- Total magnetization: 0.000 μB per atom
- Energy relative to the lowest polymorph listed for this composition: 0 meV/atom
- DFT formation energy: -0.445 eV/atom
- Fermi-level density of states: 0.293 states/eV per atom

Record 11
Compound: Al2PtW
Source: Alexandria
Functional: GGA-PBE
Structure: relaxed

Lattice parameters (Å, degrees): 6.3035 6.3035 6.3035 90.00 90.00 90.00
Space group F-43m (No. 216)
Inequivalent atoms, fractional coordinates:
Al 0.0000 0.0000 0.0000
Al 0.2500 0.2500 0.2500
Pt 0.0000 0.0000 0.5000
W 0.2500 0.2500 0.7500

Calculated values
- Calculated total energy: -105.61 eV per cell
- Total magnetization: 0.336 μB per atom
- Energy relative to the lowest polymorph listed for this composition: 464 meV/atom
- DFT formation energy: 0.019 eV/atom
- Fermi-level density of states: 0.860 states/eV per atom

Record 12
Compound: AlPtW
Source: Alexandria
Functional: GGA-PBE
Structure: relaxed

Lattice parameters (Å, degrees): 2.7720 2.7720 11.8820 90.00 90.00 90.00
Space group I4mm (No. 107)
Inequivalent atoms, fractional coordinates:
Al 0.0000 0.0000 0.0000
Pt 0.0000 0.0000 0.3411
W 0.0000 0.0000 0.6702

Calculated values
- Calculated total energy: -47.69 eV per cell
- Total magnetization: 0.000 μB per atom
- Energy relative to the lowest polymorph listed for this composition: 0 meV/atom
- DFT formation energy: -0.370 eV/atom
- Fermi-level density of states: 0.825 states/eV per atom